[1]
The following is a DFT calculation (PBE-GGA) of a relaxed structure of Sm4ZnAg.

POSCAR file:
```
Sm4ZnAg
1.0
-2.7974 2.8257 3.1289
1.8073 -2.5894 3.9542
5.4580 4.7333 0.6041
Zn Sm Ag
1 4 1
direct
0.0013 0.9973 0.4980
0.5014 0.9975 0.7407
0.0012 0.4972 0.2557
0.5012 0.9971 0.2556
0.0014 0.4974 0.7407
0.5013 0.4973 0.9982
```

Its density of states at the Fermi level is 1.7335 states/eV per atom. Its crystal system is tetragonal. The energy above the most stable polymorph in this dataset comes out at 132 kJ/mol of formula units. The calculated density comes out at 6.93 g/cm³. As for the formation energy: 52 meV/atom. The symmetry is P4/mmm (123).



[2]
The following is a DFT calculation (PBE-GGA) of a relaxed structure of Sm5ZnAg4.

POSCAR file:
```
Sm5ZnAg4
1.0
-1.0238 -3.2783 -1.3334
3.5313 -0.8541 -0.6117
1.1871 -7.3097 17.0604
Ag Sm Zn
4 5 1
direct
0.0000 0.0000 0.3997
0.0000 0.0000 0.8034
0.0000 0.0000 0.1966
0.0000 0.0000 0.6003
0.5000 0.5000 0.9045
0.5000 0.5000 0.7022
0.5000 0.5000 0.2978
0.5000 0.5000 0.0955
0.5000 0.5000 0.5000
0.0000 0.0000 0.0000
```

Its density of states at the Fermi level is 0.6448 states/eV per atom. Its crystal system is tetragonal. The calculated density comes out at 8.21 g/cm³. As for the formation energy: -293 meV/atom. The symmetry is P4/mmm (123).



[3]
The following is a DFT calculation (PBE-GGA) of a relaxed structure of SmZnAg3.

POSCAR file:
```
SmZnAg3
1.0
5.7807 0.0000 -0.5323
0.0000 5.8156 0.0000
0.1596 0.0000 6.0626
Ag Zn Sm
6 2 2
direct
0.6769 0.9985 0.8452
0.3231 0.0015 0.1548
0.3620 0.2500 0.5586
0.3231 0.4985 0.1548
0.6769 0.5015 0.8452
0.6380 0.7500 0.4414
0.0615 0.2500 0.8567
0.9385 0.7500 0.1433
0.8394 0.2500 0.3291
0.1606 0.7500 0.6709
```

Its density of states at the Fermi level is 0.4119 states/eV per atom. Its crystal system is monoclinic. The energy above the most stable polymorph in this dataset comes out at 0 kJ/mol of formula units. The calculated density comes out at 8.77 g/cm³. As for the formation energy: -219 meV/atom. The symmetry is P2_1/m (11).



[4]
The following is a DFT calculation (PBE-GGA) of a relaxed structure of Sm3Zn8Ag3.

POSCAR file:
```
Sm3Zn8Ag3
1.0
4.4796 0.0000 0.0000
2.2398 8.0718 0.5009
2.2398 2.6795 7.6305
Zn Ag Sm
8 3 3
direct
0.1688 0.4704 0.1920
0.6378 0.0834 0.6409
0.6378 0.6409 0.0834
0.8312 0.8080 0.5296
0.3622 0.9166 0.3591
0.3622 0.3591 0.9166
0.1688 0.1920 0.4704
0.8312 0.5296 0.8080
0.5000 0.0000 0.0000
0.0000 0.2074 0.7926
0.0000 0.7926 0.2074
0.2003 0.7997 0.7997
0.7997 0.2003 0.2003
0.5000 0.5000 0.5000
```

Its density of states at the Fermi level is 0.5498 states/eV per atom. Its crystal system is orthorhombic. The calculated density comes out at 7.99 g/cm³. As for the formation energy: -305 meV/atom. The symmetry is Immm (71).



[5]
The following is a DFT calculation (PBE-GGA) of a relaxed structure of Sm2ZnAg2.

POSCAR file:
```
Sm2ZnAg2
1.0
-2.8624 -2.9586 3.2251
5.2476 -0.0650 8.8392
4.8978 3.9548 12.2170
Ag Zn Sm
4 2 4
direct
0.5426 0.0802 0.3355
0.9584 0.4198 0.1645
0.0416 0.5802 0.8355
0.4574 0.9198 0.6645
0.2496 0.7500 0.2500
0.7504 0.2500 0.7500
0.6451 0.1669 0.0423
0.3549 0.8331 0.9577
0.1456 0.6669 0.5423
0.8544 0.3331 0.4577
```

Its density of states at the Fermi level is 0.6749 states/eV per atom. Its crystal system is monoclinic. The energy above the most stable polymorph in this dataset comes out at 0 kJ/mol of formula units. The calculated density comes out at 8.33 g/cm³. As for the formation energy: -301 meV/atom. The symmetry is C2/m (12).



[6]
The following is a DFT calculation (PBE-GGA) of a relaxed structure of SmZnAg2.

POSCAR file:
```
SmZnAg2
1.0
5.6038 0.0000 0.0000
0.0000 7.5641 0.0000
0.0000 0.0000 7.8920
Ag Sm Zn
8 4 4
direct
0.4011 0.5557 0.3183
0.5989 0.4443 0.6817
0.0989 0.9443 0.8183
0.9011 0.4443 0.1817
0.5989 0.0557 0.6817
0.0989 0.5557 0.8183
0.9011 0.0557 0.1817
0.4011 0.9443 0.3183
0.3653 0.2500 0.0437
0.6347 0.7500 0.9563
0.8653 0.7500 0.4563
0.1347 0.2500 0.5437
0.6306 0.2500 0.3866
0.8694 0.2500 0.8866
0.3694 0.7500 0.6134
0.1306 0.7500 0.1134
```

Its density of states at the Fermi level is 0.5592 states/eV per atom. Its crystal system is orthorhombic. The calculated density comes out at 8.57 g/cm³. As for the formation energy: -264 meV/atom. The symmetry is Pnma (62).



[7]
The following is a DFT calculation (PBE-GGA) of a relaxed structure of Sm3Zn4Ag2.

POSCAR file:
```
Sm3Zn4Ag2
1.0
-1.5294 -3.7885 2.1970
1.3205 -0.9413 -5.6012
6.9951 0.2572 5.3133
Sm Ag Zn
3 2 4
direct
0.0000 0.0000 0.0000
0.3323 0.6645 0.3319
0.6677 0.3355 0.6681
0.3893 0.7787 0.7239
0.6107 0.2213 0.2761
0.9513 0.9027 0.6133
0.7268 0.4536 0.0555
0.2732 0.5464 0.9445
0.0487 0.0973 0.3867
```

Its density of states at the Fermi level is 0.6645 states/eV per atom. Its crystal system is monoclinic. The calculated density comes out at 7.88 g/cm³. As for the formation energy: -328 meV/atom. The symmetry is C2/m (12).



[8]
The following is a DFT calculation (PBE-GGA) of a relaxed structure of Sm3Zn2Ag3.

POSCAR file:
```
Sm3Zn2Ag3
1.0
-0.7998 -2.7572 3.6305
1.2889 -2.8938 -4.8641
14.6619 0.4836 3.5974
Zn Sm Ag
4 6 6
direct
0.7942 0.5885 0.6011
0.7942 0.5885 0.8989
0.2058 0.4115 0.3989
0.2058 0.4115 0.1011
0.0887 0.1775 0.8959
0.9113 0.8225 0.1041
0.6297 0.2595 0.2500
0.9113 0.8225 0.3959
0.3703 0.7405 0.7500
0.0887 0.1775 0.6041
0.6578 0.3156 0.7500
0.3822 0.7645 0.5422
0.6178 0.2355 0.0422
0.6178 0.2355 0.4578
0.3822 0.7645 0.9578
0.3422 0.6844 0.2500
```

Its density of states at the Fermi level is 0.8020 states/eV per atom. Its crystal system is orthorhombic. The energy above the most stable polymorph in this dataset comes out at 0 kJ/mol of formula units. The calculated density comes out at 8.08 g/cm³. As for the formation energy: -286 meV/atom. The symmetry is Cmcm (63).



[9]
The following is a DFT calculation (PBE-GGA) of a relaxed structure of Sm11Zn9Ag4.

POSCAR file:
```
Sm11Zn9Ag4
1.0
-0.6834 1.1728 3.4384
-8.4996 -9.7159 1.6246
12.0168 -3.4786 3.5747
Sm Ag Zn
11 4 9
direct
0.0000 0.7532 0.7532
0.0000 0.4124 0.0694
0.0000 0.9306 0.5876
0.0000 0.6540 0.3460
0.0000 0.0694 0.4124
0.0000 0.3460 0.6540
0.0000 0.2468 0.2468
0.0000 0.5876 0.9306
0.0000 0.1717 0.8283
0.0000 0.0000 0.0000
0.0000 0.8283 0.1717
0.5000 0.5526 0.7261
0.5000 0.2739 0.4474
0.5000 0.4474 0.2739
0.5000 0.7261 0.5526
0.5000 0.0390 0.2052
0.5000 0.9610 0.7948
0.5000 0.7948 0.9610
0.5000 0.3739 0.8587
0.5000 0.6261 0.1413
0.5000 0.5000 0.5000
0.5000 0.1413 0.6261
0.5000 0.2052 0.0390
0.5000 0.8587 0.3739
```

Its density of states at the Fermi level is 0.9100 states/eV per atom. Its crystal system is orthorhombic. The calculated density comes out at 7.64 g/cm³. As for the formation energy: -272 meV/atom. The symmetry is Cmmm (65).



[10]
The following is a DFT calculation (PBE-GGA) of a relaxed structure of Sm4ZnAg3.

POSCAR file:
```
Sm4ZnAg3
1.0
-0.4060 0.6931 3.6627
3.4322 -3.2015 0.9862
7.9231 8.2818 -0.6889
Ag Sm Zn
3 4 1
direct
0.5000 0.0000 0.9263
0.0000 0.5000 0.5765
0.0000 0.0000 0.4238
0.0000 0.5000 0.8546
0.0000 0.0000 0.1471
0.5000 0.0000 0.6462
0.5000 0.5000 0.3501
0.5000 0.5000 0.0755
```

Its density of states at the Fermi level is 1.1056 states/eV per atom. Its crystal system is orthorhombic. The energy above the most stable polymorph in this dataset comes out at 33 kJ/mol of formula units. The calculated density comes out at 7.96 g/cm³. As for the formation energy: -253 meV/atom. The symmetry is Pmm2 (25).



[11]
The following is a DFT calculation (PBE-GGA) of a relaxed structure of Sm2Zn5Ag3.

POSCAR file:
```
Sm2Zn5Ag3
1.0
-3.4167 4.5467 1.4737
-8.4352 -2.2690 -0.8447
-1.6337 -0.2254 8.6194
Zn Sm Ag
10 4 6
direct
0.7500 0.5000 0.5000
0.4999 0.7501 0.7501
0.0001 0.2499 0.2499
0.8679 0.9950 0.2692
0.6321 0.7308 0.0050
0.5001 0.2499 0.2499
0.1321 0.0050 0.7308
0.2500 0.5000 0.5000
0.3679 0.2692 0.9950
0.9999 0.7501 0.7501
0.3758 0.8788 0.3696
0.1242 0.6304 0.1212
0.8758 0.3696 0.8788
0.6242 0.1212 0.6304
0.1237 0.2322 0.5205
0.2500 0.0000 0.0000
0.3763 0.4795 0.7678
0.7500 0.0000 0.0000
0.8763 0.7678 0.4795
0.6237 0.5205 0.2322
```

Its density of states at the Fermi level is 0.5638 states/eV per atom. Its crystal system is orthorhombic. The calculated density comes out at 7.87 g/cm³. As for the formation energy: -226 meV/atom. The symmetry is Ibam (72).



[12]
The following is a DFT calculation (PBE-GGA) of a relaxed structure of Sm2Zn2Ag3.

POSCAR file:
```
Sm2Zn2Ag3
1.0
-2.3397 2.5343 -0.8442
-2.5492 -2.9672 -1.8426
-3.3244 0.0996 9.5123
Zn Ag Sm
2 3 2
direct
0.5000 0.2844 0.5688
0.5000 0.7156 0.4312
0.0000 0.0000 0.0000
0.5000 0.4293 0.8586
0.5000 0.5707 0.1414
0.0000 0.1548 0.3096
0.0000 0.8452 0.6904
```

Its density of states at the Fermi level is 0.6453 states/eV per atom. Its crystal system is orthorhombic. The energy above the most stable polymorph in this dataset comes out at 23 kJ/mol of formula units. The calculated density comes out at 8.30 g/cm³. As for the formation energy: -198 meV/atom. The symmetry is Cmmm (65).